Crystalline SiRuSe2 at its relaxed geometry, computed with PBE.

abc: 2.979 2.979 9.220
angles: 90.00 90.00 119.92
Positions (direct):
Se (0.000, 0.000, 0.972)
Se (0.000, 0.000, 0.528)
Ru (0.500, 0.500, 0.750)
Si (0.500, 0.500, 0.250)

Values from the calculation:
Uncorrected energy (eV/atom): -4.88
Crystal system: orthorhombic
Formation energy (no corrections) (eV/atom): 0.5364
Space group: Cmmm (65)